A relaxed structure of CsNd2PtO5. Source: Alexandria via LeMat-Bulk, functional GGA-PBE.

V ... 295 Å³/cell
Space-group type ... No. 140
DFT total energy ... -6.607 eV/atom
Energy relative to the elements, uncorrected ... -2.03 eV per atom

```
18
Lattice="-3.089 6.152 0.736 -6.189 -3.102 -0.048 4.894 -2.128 5.775" Properties=species:S:1:pos:R:3 pbc="T T T"
Cs 0.128 -0.302 3.059
Cs -4.511 1.223 3.403
Nd -2.549 0.078 0.114
Nd -3.177 3.613 0.489
Nd -6.100 -0.563 0.199
Nd -6.729 2.972 0.574
Pt -2.967 -1.853 3.035
Pt -1.417 2.774 3.427
O -4.964 4.079 2.048
O -0.188 2.231 4.978
O 0.580 -3.158 4.414
O 2.902 -0.070 4.622
O -2.511 -0.857 4.770
O -7.286 0.991 1.840
O -1.873 1.778 1.692
O -4.195 -1.310 1.485
O -4.639 1.525 0.344
O 0.000 0.000 0.000
```